First-principles (PBE-GGA) data for a geometry-optimized Li5Ac3F12 structure, as listed in Alexandria. Values from VASP.

Output
For the total energy, the calculation gives -5.529 eV per atom. The magnetic moment comes out at 0.0 μB per formula unit. As for the space-group type: Ia-3d, No. 230.

```
&SYSTEM
  ibrav = 0, nat = 80, ntyp = 3
/
ATOMIC_SPECIES
Li 6.94 Li.upf
Ac 227.00 Ac.upf
F 19.00 F.upf
CELL_PARAMETERS angstrom
-6.545 6.545 6.545
6.545 -6.545 6.545
6.545 6.545 -6.545
ATOMIC_POSITIONS angstrom
Li 0.000 0.000 0.000
Li 3.273 3.273 -3.273
Li 3.273 -3.273 3.273
Li 6.545 0.000 0.000
Li 9.818 1.636 0.000
Li 6.545 -3.273 4.909
Li 4.909 6.545 -3.273
Li 4.909 0.000 3.273
Li 3.273 4.909 0.000
Li 6.545 3.273 1.636
Li -3.273 3.273 3.273
Li 0.000 6.545 0.000
Li 0.000 0.000 6.545
Li 3.273 3.273 3.273
Li 0.000 3.273 4.909
Li 3.273 1.636 6.545
Li 1.636 6.545 3.273
Li 1.636 0.000 9.818
Li 0.000 9.818 1.636
Li -3.273 4.909 6.545
Ac 3.273 1.636 0.000
Ac 6.545 3.273 -1.636
Ac 1.636 0.000 3.273
Ac 8.182 0.000 3.273
Ac 0.000 3.273 1.636
Ac 3.273 -1.636 6.545
Ac 3.273 8.182 0.000
Ac 6.545 3.273 4.909
Ac -1.636 6.545 3.273
Ac 4.909 6.545 3.273
Ac 0.000 3.273 8.182
Ac 3.273 4.909 6.545
F 1.983 -0.501 0.681
F 7.836 3.954 -3.774
F 8.528 0.501 0.681
F 7.836 -2.592 3.774
F 6.045 -0.681 1.983
F 10.319 -1.290 2.592
F 0.681 1.983 -0.501
F 9.137 2.772 -1.290
F 3.954 3.774 -1.290
F 5.864 1.983 0.501
F -0.501 0.681 1.983
F 3.774 -1.290 3.954
F 6.045 5.864 -1.983
F 3.774 1.290 2.592
F 3.954 -3.774 7.836
F 5.864 -1.983 6.045
F 2.592 3.774 1.290
F 7.226 4.563 0.501
F 3.774 7.836 -2.592
F 6.045 0.681 4.563
F 1.983 6.045 -0.681
F 7.836 2.592 2.772
F 1.290 2.592 3.774
F 1.983 0.501 5.864
F 4.563 6.045 0.681
F 5.255 3.954 2.772
F -1.290 3.954 3.774
F 4.563 0.501 7.226
F 0.501 5.864 1.983
F 2.772 -1.290 9.137
F -0.681 1.983 6.045
F 3.954 2.772 5.255
F 0.681 8.528 0.501
F 2.592 10.319 -1.290
F 2.772 5.255 3.954
F 0.501 0.681 8.528
F 2.772 7.836 2.592
F 7.046 5.864 4.563
F 0.681 4.563 6.045
F 2.592 2.772 7.836
F -2.592 3.774 7.836
F 5.864 4.563 7.046
F -3.774 7.836 3.954
F 0.501 7.226 4.563
F -1.290 9.137 2.772
F -1.983 6.045 5.864
F -1.290 2.592 10.319
F 4.563 7.046 5.864
```